# Mg2ScTl, relaxed, DFT GGA-PBE
# - DOS at the Fermi energy (states/eV per atom) = 0.88
# - E above lowest polymorph (meV/atom) = 140
# - total magnetic moment (μB per cell) = 0.5
# - ΔE_f (meV/atom) = -43
data_Mg2ScTl
_chemical_formula_sum 'Mg2 Sc1 Tl1'
_cell_length_a 3.320
_cell_length_b 4.548
_cell_length_c 6.301
_cell_angle_alpha 90.00
_cell_angle_beta 90.00
_cell_angle_gamma 90.00
_space_group_name_H-M_alt 'P m m m'
_space_group_IT_number 47
_space_group_name_Hall '-P 2 2'
loop_
_atom_site_label
_atom_site_type_symbol
_atom_site_fract_x
_atom_site_fract_y
_atom_site_fract_z
Mg1 Mg 0.000 0.000 0.244
Sc1 Sc 0.500 0.500 0.000
Tl1 Tl 0.500 0.500 0.500